[1]
GaFe2RhC: optimized geometry, GGA-PBE.

**Raw total energy**: -7.37 eV per atom

Cell lengths 3.7723, 3.7723, 4.0872 Å; angles 90.00, 90.00, 90.00 degrees
Site moments in Bohr magnetons follow the coordinates.
Fractional coordinates of all 5 atoms:
1 C 0.0000 0.0000 0.0000  -0.09
2 Fe 0.5000 0.0000 0.0000  1.32
3 Fe 0.0000 0.5000 0.0000  1.32
4 Rh 0.0000 0.0000 0.5000  -0.02
5 Ga 0.5000 0.5000 0.5000  -0.08

***

[2]
GaFe2RhC: optimized geometry, GGA-PBE.

**Raw total energy**: -5.15 eV per atom

Cell lengths 4.4226, 4.4226, 4.5171 Å; angles 90.00, 90.00, 90.00 degrees
Site moments in Bohr magnetons follow the coordinates.
Fractional coordinates of all 5 atoms:
1 Fe 0.5000 0.0000 0.0000  2.91
2 Fe 0.0000 0.5000 0.0000  2.91
3 Rh 0.0000 0.0000 0.5000  0.28
4 Ga 0.0000 0.0000 0.0000  -0.12
5 C 0.5000 0.5000 0.5000  -0.13

***

[3]
GaFe2RuC: optimized geometry, GGA-PBE.

**Raw total energy**: -7.72 eV per atom

Cell lengths 3.7912, 3.7912, 4.0522 Å; angles 90.00, 90.00, 90.00 degrees
Site moments in Bohr magnetons follow the coordinates.
Fractional coordinates of all 5 atoms:
1 Fe 0.5000 0.0000 0.0000  1.63
2 Fe 0.0000 0.5000 0.0000  1.63
3 C 0.0000 0.0000 0.0000  -0.09
4 Ga 0.5000 0.5000 0.5000  -0.08
5 Ru 0.0000 0.0000 0.5000  0.01

***

[4]
Sc2Ga2Fe2C: optimized geometry, GGA-PBE.

**Raw total energy**: -6.85 eV per atom

Cell lengths 3.3851, 5.5330, 6.1869 Å; angles 72.94, 74.12, 72.19 degrees
Site moments in Bohr magnetons follow the coordinates.
Fractional coordinates of all 7 atoms:
1 Ga 0.8573 0.6228 0.6627  -0.04
2 Ga 0.1427 0.3772 0.3373  -0.04
3 Fe 0.1919 0.6769 0.9393  1.24
4 Fe 0.8081 0.3231 0.0607  1.24
5 C 0.0000 0.0000 0.0000  -0.04
6 Sc 0.4383 0.8551 0.2684  -0.04
7 Sc 0.5617 0.1449 0.7316  -0.04

***

[5]
Sc2GaFeC: optimized geometry, GGA-PBE.

**Raw total energy**: -7.17 eV per atom

Cell lengths 4.5441, 4.5441, 3.6721 Å; angles 90.00, 90.00, 90.00 degrees
Site moments in Bohr magnetons follow the coordinates.
Fractional coordinates of all 5 atoms:
1 Fe 0.0000 0.0000 0.5000  0.59
2 Sc 0.0000 0.5000 0.0000  -0.03
3 Sc 0.5000 0.0000 0.0000  -0.03
4 Ga 0.5000 0.5000 0.5000  0.00
5 C 0.0000 0.0000 0.0000  -0.01

***

[6]
Sm2Ga2Fe15C2: optimized geometry, GGA-PBE.

**Raw total energy**: -7.70 eV per atom

Cell lengths 6.5026, 6.5026, 6.5884 Å; angles 82.95, 82.95, 83.09 degrees
Site moments in Bohr magnetons follow the coordinates.
Fractional coordinates of all 21 atoms:
1 Fe 0.7120 0.9973 0.2900  1.54
2 Fe 0.2898 0.0083 0.7127  1.39
3 Fe 0.7188 0.2798 0.0040  2.32
4 Fe 0.0041 0.0041 0.4908  2.34
5 Fe 0.9055 0.9055 0.9111  2.43
6 Fe 0.6557 0.6557 0.1465  2.56
7 Fe 0.0979 0.0979 0.0932  2.55
8 Fe 0.2798 0.7188 0.0040  2.32
9 Fe 0.9973 0.7120 0.2900  1.54
10 Fe 0.8487 0.3431 0.3338  1.73
11 Fe 0.3393 0.3393 0.8657  2.27
12 Fe 0.0083 0.2898 0.7127  1.39
13 Fe 0.5018 0.9973 0.0011  2.12
14 Fe 0.9973 0.5018 0.0011  2.12
15 Fe 0.3431 0.8487 0.3338  1.73
16 C 0.4887 0.9868 0.4908  -0.11
17 C 0.9868 0.4887 0.4908  -0.11
18 Sm 0.6585 0.6585 0.6733  -0.21
19 Sm 0.3441 0.3441 0.3306  -0.21
20 Ga 0.6630 0.1593 0.6621  -0.10
21 Ga 0.1593 0.6630 0.6621  -0.10

***

no.,formation energy from the elements (eV per atom)
1,-0.061
2,2.154
3,-0.033
4,-0.441
5,-0.494
6,-0.043